A plane-wave DFT calculation with GGA-PBE was carried out for Ag4SeCl3 after structural relaxation.

Spin magnetization, μB per cell: 0.000
Uncorrected formation energy, kJ/mol of atoms: -27.1
V, Å³ per cell: 183.6
Space group: I4/mmm (139)
Final energy, eV/atom: -2.834
Calculated density, kg/m³: 5578

```
data_Ag4SeCl3
_space_group_name_H-M_alt 'P 1'
_space_group_IT_number 1
_space_group_name_Hall 'P 1'
_cell_length_a 5.3655
_cell_length_b 5.3655
_cell_length_c 7.4212
_cell_angle_alpha 111.19
_cell_angle_beta 111.19
_cell_angle_gamma 90.00
loop_
_atom_site_label
_atom_site_type_symbol
_atom_site_fract_x
_atom_site_fract_y
_atom_site_fract_z
Cl1 Cl 0.2500 0.7500 0.5000
Cl2 Cl 0.7500 0.2500 0.5000
Cl3 Cl 0.5000 0.5000 0.0000
Ag1 Ag 0.5000 0.0000 0.0000
Ag2 Ag 0.0000 0.5000 0.0000
Ag3 Ag 0.7878 0.7878 0.5756
Ag4 Ag 0.2122 0.2122 0.4244
Se1 Se 0.0000 0.0000 0.0000
```

---

A plane-wave DFT calculation with GGA-PBE was carried out for AgSe2Cl6 after structural relaxation.

Spin magnetization, μB per cell: 1.470
Uncorrected formation energy, kJ/mol of atoms: -28.6
V, Å³ per cell: 593.0
Space group: C2/c (15)
Final energy, eV/atom: -2.619
Calculated density, kg/m³: 2680

```
data_AgSe2Cl6
_space_group_name_H-M_alt 'P 1'
_space_group_IT_number 1
_space_group_name_Hall 'P 1'
_cell_length_a 5.4619
_cell_length_b 10.4594
_cell_length_c 10.4594
_cell_angle_alpha 95.98
_cell_angle_beta 87.53
_cell_angle_gamma 87.53
loop_
_atom_site_label
_atom_site_type_symbol
_atom_site_fract_x
_atom_site_fract_y
_atom_site_fract_z
Cl1 Cl 0.5301 0.9780 0.7908
Cl2 Cl 0.4985 0.6143 0.1386
Cl3 Cl 0.9699 0.2092 0.0220
Cl4 Cl 0.9985 0.1386 0.6143
Cl5 Cl 0.9676 0.4460 0.2664
Cl6 Cl 0.0301 0.7908 0.9780
Cl7 Cl 0.5015 0.3857 0.8614
Cl8 Cl 0.4699 0.0220 0.2092
Cl9 Cl 0.5324 0.7336 0.5540
Cl10 Cl 0.4676 0.2664 0.4460
Cl11 Cl 0.0015 0.8614 0.3857
Cl12 Cl 0.0323 0.5540 0.7336
Se1 Se 0.7801 0.4112 0.0853
Se2 Se 0.2199 0.5888 0.9147
Se3 Se 0.2801 0.0853 0.4112
Se4 Se 0.7199 0.9147 0.5888
Ag1 Ag 0.7500 0.8112 0.1888
Ag2 Ag 0.2500 0.1888 0.8112
```

---

A plane-wave DFT calculation with GGA-PBE was carried out for Ag8Se3Cl2 after structural relaxation.

Spin magnetization, μB per cell: 0.000
Uncorrected formation energy, kJ/mol of atoms: -17.6
V, Å³ per cell: 649.4
Space group: C2/c (15)
Final energy, eV/atom: -3.025
Calculated density, kg/m³: 5987

```
data_Ag8Se3Cl2
_space_group_name_H-M_alt 'P 1'
_space_group_IT_number 1
_space_group_name_Hall 'P 1'
_cell_length_a 5.8373
_cell_length_b 7.6987
_cell_length_c 15.6323
_cell_angle_alpha 92.38
_cell_angle_beta 90.00
_cell_angle_gamma 112.28
loop_
_atom_site_label
_atom_site_type_symbol
_atom_site_fract_x
_atom_site_fract_y
_atom_site_fract_z
Ag1 Ag 0.8921 0.8214 0.3288
Ag2 Ag 0.0707 0.1786 0.1712
Ag3 Ag 0.3843 0.5515 0.2502
Ag4 Ag 0.6157 0.4485 0.7498
Ag5 Ag 0.8328 0.4485 0.2498
Ag6 Ag 0.1079 0.1786 0.6712
Ag7 Ag 0.9830 0.7701 0.6428
Ag8 Ag 0.7871 0.7701 0.1428
Ag9 Ag 0.0170 0.2299 0.3572
Ag10 Ag 0.2129 0.2299 0.8572
Ag11 Ag 0.2918 0.5676 0.0618
Ag12 Ag 0.7082 0.4324 0.9382
Ag13 Ag 0.9293 0.8214 0.8288
Ag14 Ag 0.2758 0.5676 0.5618
Ag15 Ag 0.7242 0.4324 0.4382
Ag16 Ag 0.1672 0.5515 0.7502
Se1 Se 0.8525 0.3652 0.6222
Se2 Se 0.6703 0.0000 0.2500
Se3 Se 0.1475 0.6348 0.3778
Se4 Se 0.4873 0.6348 0.8778
Se5 Se 0.3297 0.0000 0.7500
Se6 Se 0.5127 0.3652 0.1222
Cl1 Cl 0.3071 0.2106 0.4738
Cl2 Cl 0.6929 0.7894 0.5262
Cl3 Cl 0.9035 0.2106 0.9738
Cl4 Cl 0.0965 0.7894 0.0262
```

---

A plane-wave DFT calculation with GGA-PBE was carried out for Ag2SeCl after structural relaxation.

Spin magnetization, μB per cell: 0.000
Uncorrected formation energy, kJ/mol of atoms: -14.3
V, Å³ per cell: 86.9
Space group: R3m (160)
Final energy, eV/atom: -2.906
Calculated density, kg/m³: 6305

```
data_Ag2SeCl
_space_group_name_H-M_alt 'P 1'
_space_group_IT_number 1
_space_group_name_Hall 'P 1'
_cell_length_a 3.7550
_cell_length_b 3.7550
_cell_length_c 7.4431
_cell_angle_alpha 75.39
_cell_angle_beta 75.39
_cell_angle_gamma 60.00
loop_
_atom_site_label
_atom_site_type_symbol
_atom_site_fract_x
_atom_site_fract_y
_atom_site_fract_z
Cl1 Cl 0.4970 0.4970 0.5089
Ag1 Ag 0.2559 0.2559 0.2323
Ag2 Ag 0.0789 0.0789 0.7634
Se1 Se 0.6682 0.6682 0.9954
```